[1]
Hf2IrSe after structural relaxation, computed with PBE.

Output
E_tot: -136.38 eV/cell
formation energy (no corrections): -460 meV/atom

Cell lengths 7.1854, 7.1854, 6.2581 Å; angles 90.00, 90.00, 90.00 degrees
Fractional coordinates of all 16 atoms:
Hf 0.2418 0.2500 0.1250
Hf 0.2500 0.7418 0.3750
Hf 0.2500 0.7582 0.8750
Hf 0.2582 0.2500 0.6250
Hf 0.7418 0.7500 0.6250
Hf 0.7500 0.2418 0.8750
Hf 0.7500 0.2582 0.3750
Hf 0.7582 0.7500 0.1250
Ir 0.0000 0.0000 0.0000
Ir 0.0000 0.5000 0.2500
Ir 0.5000 0.0000 0.7500
Ir 0.5000 0.5000 0.5000
Se 0.0000 0.0000 0.5000
Se 0.0000 0.5000 0.7500
Se 0.5000 0.0000 0.2500
Se 0.5000 0.5000 0.0000

[2]
RbPaBiO6 after structural relaxation, computed with PBE.

Output
E_tot: -120.71 eV/cell
formation energy (no corrections): -1807 meV/atom

Cell lengths 5.8519, 5.8519, 12.5545 Å; angles 90.00, 90.00, 120.00 degrees
Fractional coordinates of all 18 atoms:
Rb 0.0000 0.0000 0.0000
Rb 0.0000 0.0000 0.5000
Pa 0.3333 0.6667 0.2500
Pa 0.6667 0.3333 0.7500
Bi 0.3333 0.6667 0.7500
Bi 0.6667 0.3333 0.2500
O 0.0044 0.3856 0.6564
O 0.0044 0.6188 0.8436
O 0.3812 0.3856 0.8436
O 0.3812 0.9956 0.6564
O 0.3856 0.0044 0.1564
O 0.3856 0.3812 0.3436
O 0.6144 0.6188 0.6564
O 0.6144 0.9956 0.8436
O 0.6188 0.0044 0.3436
O 0.6188 0.6144 0.1564
O 0.9956 0.3812 0.1564
O 0.9956 0.6144 0.3436

[3]
AcErLuIn after structural relaxation, computed with PBE.

Output
E_tot: -63.55 eV/cell
E_form: 0.04 eV per formula unit

Cell lengths 7.8714, 7.8714, 7.8714 Å; angles 90.00, 90.00, 90.00 degrees
Fractional coordinates of all 16 atoms:
Ac 0.0000 0.0000 0.0000
Ac 0.0000 0.5000 0.5000
Ac 0.5000 0.0000 0.5000
Ac 0.5000 0.5000 0.0000
Er 0.2500 0.2500 0.2500
Er 0.2500 0.7500 0.7500
Er 0.7500 0.2500 0.7500
Er 0.7500 0.7500 0.2500
Lu 0.2500 0.2500 0.7500
Lu 0.2500 0.7500 0.2500
Lu 0.7500 0.2500 0.2500
Lu 0.7500 0.7500 0.7500
In 0.0000 0.0000 0.5000
In 0.0000 0.5000 0.0000
In 0.5000 0.0000 0.0000
In 0.5000 0.5000 0.5000

[4]
Tc2CBr after structural relaxation, computed with PBE.

Output
E_tot: -113.80 eV/cell
formation energy (no corrections): 795 meV/atom
energy above the most stable polymorph in this dataset: 0.00 eV per formula unit

Cell lengths 5.2025, 5.2025, 9.8338 Å; angles 90.00, 90.00, 90.00 degrees
Fractional coordinates of all 16 atoms:
Tc 0.1619 0.2500 0.1250
Tc 0.2500 0.6619 0.3750
Tc 0.2500 0.8381 0.8750
Tc 0.3381 0.2500 0.6250
Tc 0.6619 0.7500 0.6250
Tc 0.7500 0.1619 0.8750
Tc 0.7500 0.3381 0.3750
Tc 0.8381 0.7500 0.1250
C 0.0000 0.0000 0.0000
C 0.0000 0.5000 0.2500
C 0.5000 0.0000 0.7500
C 0.5000 0.5000 0.5000
Br 0.0000 0.0000 0.5000
Br 0.0000 0.5000 0.7500
Br 0.5000 0.0000 0.2500
Br 0.5000 0.5000 0.0000